DFT (PBE) results for crystalline Rb2TlZnBi2 at its relaxed geometry.

a = 9.9508 Å, b = 9.9508 Å, c = 9.9508 Å
α = 136.32°, β = 63.07°, γ = 136.85°
Last column: nearest neighbours and their distance in Å.
Fractional positions:
Rb  0.1658  0.2359  0.4017  5 Bi 3.73-4.03, 2 Tl 3.78, 2 Zn 3.88
Rb  0.3342  0.7359  0.0702  5 Bi 3.73-4.03, 2 Tl 3.78, 2 Zn 3.88
Rb  0.6658  0.2641  0.9298  5 Bi 3.73-4.03, 2 Tl 3.78, 2 Zn 3.88
Rb  0.8342  0.7641  0.5983  5 Bi 3.73-4.03, 2 Tl 3.78, 2 Zn 3.88
Tl  0.2500  0.2500  0.0000  4 Bi 3.25
Tl  0.7500  0.7500  0.0000  4 Bi 3.25
Zn  0.2500  0.7500  0.5000  4 Bi 2.93
Zn  0.7500  0.2500  0.5000  4 Bi 2.93
Bi  0.0974  0.7149  0.8123  2 Zn 2.93, 2 Tl 3.25
Bi  0.4026  0.2149  0.6174  2 Zn 2.93, 2 Tl 3.25
Bi  0.5974  0.7851  0.3826  2 Zn 2.93, 2 Tl 3.25
Bi  0.9026  0.2851  0.1877  2 Zn 2.93, 2 Tl 3.25

Summary:
As for the formation enthalpy at 0 K: -0.2550 eV per atom. As for the energy: -0.0911 Ha/atom. As for the volume: 459 Å³/cell. The size of the total moment is 0.000 μB/atom. Its crystal system is orthorhombic. As for the space group: No. 72.

DFT (PBE) results for crystalline RbUBi2 at its relaxed geometry.

a = 3.6461 Å, b = 3.6461 Å, c = 10.0477 Å
α = 90.00°, β = 90.00°, γ = 90.00°
Last column: nearest neighbours and their distance in Å.
Fractional positions:
Rb  0.0000  0.0000  0.0000  4 Rb 3.65, 8 Bi 3.83
U  0.0000  0.0000  0.5000  8 Bi 3.38, 4 U 3.65
Bi  0.5000  0.5000  0.2823  4 U 3.38, 4 Bi 3.65
Bi  0.5000  0.5000  0.7177  4 U 3.38, 4 Bi 3.65

Summary:
As for the energy above the lowest structure with this stoichiometry: 0.0 kJ/mol of atoms. As for the formation enthalpy at 0 K: -0.0981 eV per atom. As for the energy: -0.1875 Ha/atom. As for the volume: 134 Å³/cell. The size of the total moment is 0.814 μB/atom. Its crystal system is tetragonal. As for the space group: No. 123.

DFT (PBE) results for crystalline RbUBi2 at its relaxed geometry.

a = 8.9651 Å, b = 8.9651 Å, c = 8.9651 Å
α = 30.32°, β = 30.32°, γ = 30.32°
Last column: nearest neighbours and their distance in Å.
Fractional positions:
Rb  0.0000  0.0000  0.0000  6 Bi 3.82
U  0.5000  0.5000  0.5000  6 Bi 3.13
Bi  0.2282  0.2282  0.2282  3 U 3.13
Bi  0.7718  0.7718  0.7718  3 U 3.13

Summary:
As for the energy above the lowest structure with this stoichiometry: 9.0 kJ/mol of atoms. As for the formation enthalpy at 0 K: -0.0050 eV per atom. As for the energy: -0.1841 Ha/atom. As for the volume: 163 Å³/cell. The size of the total moment is 0.269 μB/atom. Its crystal system is trigonal. As for the space group: No. 166.